Material: TiMnI3
Method: DFT, PBE-GGA
State: optimized geometry

The structure belongs to space group Pm-3m (No. 221); the cell edges are 5.659, 5.659 and 5.659 Å and the angles 90.00°, 90.00° and 90.00°. The asymmetric unit holds Ti at (0.000, 0.000, 0.000), Mn at (0.500, 0.500, 0.500) and I at (0.000, 0.000, 0.500).

For the energy relative to the lowest polymorph listed for this composition, the calculation gives 0.000 eV per atom.

Material: Tb4SBr5
Method: DFT, PBE-GGA
State: optimized geometry

The structure belongs to space group C2/m (No. 12); the cell edges are 17.983, 3.914 and 8.322 Å and the angles 90.00°, 103.99° and 90.00°. The asymmetric unit holds Tb at (0.002, 0.000, 0.286), Tb at (0.148, 0.500, 0.572), S at (0.000, 0.500, 0.500), Br at (0.000, 0.500, 0.000), Br at (0.163, 0.000, 0.835) and Br at (0.174, 0.000, 0.326).

For the total energy, the calculation gives -94.81 eV for the cell shown.

Material: BaSiMo3
Method: DFT, PBE-GGA
State: optimized geometry

The structure belongs to space group Pm-3m (No. 221); the cell edges are 4.768, 4.768 and 4.768 Å and the angles 90.00°, 90.00° and 90.00°. The asymmetric unit holds Ba at (0.000, 0.000, 0.000), Si at (0.500, 0.500, 0.500) and Mo at (0.000, 0.500, 0.500).

For the energy relative to the lowest polymorph listed for this composition, the calculation gives 0.000 eV per atom.